(1)
Compound: BeTe2Au
Source: Alexandria via LeMat-Bulk
Functional: PBE-GGA
Structure: relaxed

Total magnetic moment, μB per formula unit: 0.00
Density of states at the Fermi level, states/eV/f.u.: 1.90
E_form (uncorrected), eV per atom: -0.065

Unit cell a=3.7604 b=4.5279 c=6.8655 alpha=87.67 beta=90.00 gamma=90.00
Atoms (fractional coordinates):
Be 0.5000 0.8746 0.6501
Te 0.0000 0.8780 0.8828
Te 0.5000 0.2345 0.3773
Au 0.0000 0.5128 0.5898


(2)
Compound: Be2TeAu
Source: Alexandria via LeMat-Bulk
Functional: PBE-GGA
Structure: relaxed

Total magnetic moment, μB per formula unit: 0.00
Density of states at the Fermi level, states/eV/f.u.: 1.36
E_form (uncorrected), eV per atom: 0.287

Unit cell a=3.6531 b=3.6531 c=6.4170 alpha=90.00 beta=90.00 gamma=112.92
Atoms (fractional coordinates):
Be 0.0000 0.0000 0.0200
Be 0.5000 0.5000 0.2067
Te 0.0000 0.0000 0.4126
Au 0.5000 0.5000 0.8608


(3)
Compound: BeTe2Au
Source: Alexandria via LeMat-Bulk
Functional: PBE-GGA
Structure: relaxed

Total magnetic moment, μB per formula unit: 0.00
Density of states at the Fermi level, states/eV/f.u.: 2.90
E_form (uncorrected), eV per atom: -0.127

Unit cell a=6.0502 b=6.0502 c=7.1958 alpha=65.14 beta=65.14 gamma=90.00
Atoms (fractional coordinates):
Be 0.5000 0.5000 0.0000
Be 0.2500 0.7500 0.5000
Te 0.5855 0.1250 0.2500
Te 0.1645 0.6250 0.2500
Te 0.3750 0.4145 0.7500
Te 0.8750 0.8355 0.7500
Au 0.0000 0.0000 0.0000
Au 0.7500 0.2500 0.5000


(4)
Compound: BeTe2Au
Source: Alexandria via LeMat-Bulk
Functional: PBE-GGA
Structure: relaxed

Total magnetic moment, μB per formula unit: 0.00
Density of states at the Fermi level, states/eV/f.u.: 2.03
E_form (uncorrected), eV per atom: 0.276

Unit cell a=6.3313 b=6.3313 c=6.3313 alpha=147.41 beta=135.45 gamma=56.28
Atoms (fractional coordinates):
Be 0.2447 0.7447 0.5000
Te 0.0808 0.0808 0.0000
Te 0.7740 0.2740 0.5000
Au 0.4005 0.4005 0.0000


(5)
Compound: Be2TeAu
Source: Alexandria via LeMat-Bulk
Functional: PBE-GGA
Structure: relaxed

Total magnetic moment, μB per formula unit: 0.00
Density of states at the Fermi level, states/eV/f.u.: 1.71
E_form (uncorrected), eV per atom: 0.535

Unit cell a=4.3946 b=4.3946 c=3.5110 alpha=90.00 beta=90.00 gamma=102.55
Atoms (fractional coordinates):
Be 0.0000 0.0000 0.0000
Be 0.5000 0.5000 0.0000
Te 0.5000 0.0000 0.5000
Au 0.0000 0.5000 0.5000


(6)
Compound: BeTeAu2
Source: Alexandria via LeMat-Bulk
Functional: PBE-GGA
Structure: relaxed

Total magnetic moment, μB per formula unit: 0.00
Density of states at the Fermi level, states/eV/f.u.: 1.07
E_form (uncorrected), eV per atom: 0.245
Polymorph energy (0 for the lowest one), eV/f.u.: 0.87

Unit cell a=5.1296 b=5.1296 c=5.1296 alpha=137.56 beta=119.77 gamma=76.44
Atoms (fractional coordinates):
Be 0.5145 0.5145 0.0000
Te 0.3044 0.8044 0.5000
Au 0.9837 0.9837 0.0000
Au 0.6974 0.1974 0.5000


(7)
Compound: BeTeAu2
Source: Alexandria via LeMat-Bulk
Functional: PBE-GGA
Structure: relaxed

Total magnetic moment, μB per formula unit: 0.00
Density of states at the Fermi level, states/eV/f.u.: 1.22
E_form (uncorrected), eV per atom: 0.063
Polymorph energy (0 for the lowest one), eV/f.u.: 0.15

Unit cell a=3.9012 b=4.5743 c=4.5647 alpha=80.67 beta=90.00 gamma=90.00
Atoms (fractional coordinates):
Be 0.5000 0.2500 0.2500
Te 0.5000 0.7500 0.7500
Au 0.0000 0.0538 0.0542
Au 0.0000 0.4462 0.4458


(8)
Compound: Be2TeAu
Source: Alexandria via LeMat-Bulk
Functional: PBE-GGA
Structure: relaxed

Total magnetic moment, μB per formula unit: 0.00
Density of states at the Fermi level, states/eV/f.u.: 0.82
E_form (uncorrected), eV per atom: 0.014

Unit cell a=3.7320 b=3.7675 c=5.7750 alpha=70.95 beta=90.00 gamma=90.00
Atoms (fractional coordinates):
Be 0.0000 0.8775 0.1201
Be 0.5000 0.3847 0.1046
Te 0.0000 0.2314 0.4135
Au 0.5000 0.0064 0.8618


Question: What is the density of states at the Fermi level in the first record?
Answer: 1.90 states/eV/f.u.